K2TaHg | the Alexandria database | GGA-PBEsol | relaxed; energy relative to the elements = 0.918 eV per atom; DFT total energy = -2.9277 eV/atom; theoretical density = 6.22 Mg/m³
1.0
-1.446 3.208 6.616
1.446 -3.208 6.616
1.446 3.208 -6.616
K Ta Hg
2 1 1
Direct
0.000 0.000 0.000
0.703 0.203 0.500
0.278 0.778 0.500
0.460 0.460 0.000